Record 1
DFT (PBE) results for CaSn12Ir4 after structural relaxation.

## Properties
The calculated total energy comes out at -88.56 eV/cell. The space-group type is Im-3, No. 204. Its total magnetization is 0.000 μB per atom. Its mass density is 8.64 g/cm³. Its formation energy is -181.1 meV/atom.

Lattice parameters (Å, degrees): 8.232 8.232 8.232 109.47 109.47 109.47
Fractional positions:
Ca 0.000 0.000 0.000
Sn 0.161 0.338 0.499
Sn 0.161 0.662 0.823
Sn 0.177 0.839 0.338
Sn 0.338 0.177 0.839
Sn 0.338 0.499 0.161
Sn 0.499 0.161 0.338
Sn 0.501 0.839 0.662
Sn 0.662 0.501 0.839
Sn 0.662 0.823 0.161
Sn 0.823 0.161 0.662
Sn 0.839 0.338 0.177
Sn 0.839 0.662 0.501
Ir 0.000 0.000 0.500
Ir 0.000 0.500 0.000
Ir 0.500 0.000 0.000
Ir 0.500 0.500 0.500

Record 2
DFT (PBE) results for SrCa2SnIr after structural relaxation.

## Properties
The calculated total energy comes out at -20.18 eV/cell. The space-group type is P4/mmm, No. 123. Its total magnetization is 0.000 μB per atom. Its mass density is 4.93 g/cm³. Its formation energy is -325.8 meV/atom.

Lattice parameters (Å, degrees): 5.565 5.565 5.209 90.00 90.00 90.00
Fractional positions:
Sr 0.000 0.000 0.000
Ca 0.000 0.500 0.500
Ca 0.500 0.000 0.500
Sn 0.500 0.500 0.000
Ir 0.500 0.500 0.500

What did the second record say?
DFT (PBE) results for SrCa2SnIr after structural relaxation.

## Properties
The calculated total energy comes out at -20.18 eV/cell. The space-group type is P4/mmm, No. 123. Its total magnetization is 0.000 μB per atom. Its mass density is 4.93 g/cm³. Its formation energy is -325.8 meV/atom.

Lattice parameters (Å, degrees): 5.565 5.565 5.209 90.00 90.00 90.00
Fractional positions:
Sr 0.000 0.000 0.000
Ca 0.000 0.500 0.500
Ca 0.500 0.000 0.500
Sn 0.500 0.500 0.000
Ir 0.500 0.500 0.500

Which value of calculated total energy does entry 1 give?
-88.56 eV/cell

Look up the calculated total energy of the first one.
-88.56 eV/cell